(1)
A plane-wave DFT calculation with PBE was carried out for a relaxed structure of ZrCu2Sb.

Cell: 5.451 5.451 5.451 Å, 138.10 137.50 61.21°
Positions (direct):
1 Sb 0.497 0.497 0.000
2 Zr 0.235 0.735 0.500
3 Cu 0.797 0.297 0.500
4 Cu 0.972 0.972 0.000

As for the raw total energy: -5.30 eV/atom. For the density of states at the Fermi level, the calculation gives 3.7 states/eV/f.u. Its density is 7.814 Mg/m³.

=====

(2)
A plane-wave DFT calculation with PBE was carried out for a relaxed structure of ThPRu2C.

Cell: 3.894 5.914 7.172 Å, 90.00 90.00 109.22°
Positions (direct):
1 Th 0.549 0.097 0.250
2 Th 0.451 0.903 0.750
3 P 0.728 0.457 0.750
4 P 0.272 0.543 0.250
5 Ru 0.833 0.666 0.446
6 Ru 0.167 0.334 0.946
7 Ru 0.833 0.666 0.054
8 Ru 0.167 0.334 0.554
9 C 0.000 0.000 0.500
10 C 0.000 0.000 0.000

For the density of states at the Fermi level, the calculation gives 2.8 states/eV/f.u. Its density is 10.161 Mg/m³. The value obtained for the energy relative to the elements is -645 meV per atom.

=====

(3)
A plane-wave DFT calculation with PBE was carried out for a relaxed structure of TmFeCo3.

Cell: 5.848 5.850 5.850 Å, 81.82 60.01 60.01°
Each line ends with the local moment (μB).
Positions (direct):
1 Co 0.132 0.172 0.172  0.62
2 Co 0.477 0.828 0.828  0.62
3 Co 0.868 0.828 0.828  0.62
4 Co 0.500 0.774 0.226  0.98
5 Co 0.523 0.172 0.172  0.62
6 Co 0.500 0.226 0.774  0.98
7 Tm 0.000 0.729 0.271  -0.11
8 Tm 0.000 0.271 0.729  -0.11
9 Fe 0.341 0.659 0.659  -0.07
10 Fe 0.659 0.341 0.341  -0.07

For the density of states at the Fermi level, the calculation gives 7.3 states/eV/f.u. Its density is 8.978 Mg/m³. The value obtained for the energy relative to the elements is 190 meV per atom.

=====

(4)
A plane-wave DFT calculation with PBE was carried out for a relaxed structure of Sm2GaBr.

Cell: 4.260 4.260 7.516 Å, 73.54 73.54 60.00°
Positions (direct):
1 Ga 0.000 0.000 0.000
2 Sm 0.742 0.742 0.775
3 Sm 0.258 0.258 0.225
4 Br 0.500 0.500 0.500

The energy relative to the lowest polymorph listed for this composition comes out at 0 meV per atom. For the density of states at the Fermi level, the calculation gives 2.0 states/eV/f.u. Its density is 6.700 Mg/m³.

=====

(5)
A plane-wave DFT calculation with PBE was carried out for a relaxed structure of Y4FeRe.

Cell: 5.940 5.940 5.940 Å, 60.00 60.00 60.00°
Each line ends with the local moment (μB).
Positions (direct):
1 Fe 0.750 0.750 0.750  3.14
2 Y 0.374 0.374 0.374  -0.12
3 Y 0.374 0.374 0.877  -0.12
4 Y 0.374 0.877 0.374  -0.12
5 Y 0.877 0.374 0.374  -0.12
6 Re 0.000 0.000 0.000  0.07

For the density of states at the Fermi level, the calculation gives 8.7 states/eV/f.u. Its density is 6.698 Mg/m³. The value obtained for the energy relative to the elements is 1180 meV per atom.

=====

(6)
A plane-wave DFT calculation with PBE was carried out for a relaxed structure of AlIn.

Cell: 3.258 3.258 9.812 Å, 90.00 90.00 120.00°
Positions (direct):
1 Al 0.333 0.667 0.227
2 Al 0.000 0.000 0.023
3 In 0.333 0.667 0.774
4 In 0.000 0.000 0.476

For the density of states at the Fermi level, the calculation gives 0.6 states/eV/f.u. Its density is 5.219 Mg/m³. The value obtained for the energy relative to the elements is 156 meV per atom.